(1)
The following is a DFT calculation (PBE-GGA) of Tb4NdZn4 after structural relaxation.

**Space-group type**: I4/m (87)

Cell: 7.2140 7.2140 7.2140 Å, 97.27 97.27 138.32°
With the nearest neighbours (Å) after each atom.
Atoms (fractional coordinates):
Tb1 0.1076 0.6521 0.7597  4 Zn 2.97-3.03
Tb2 0.3479 0.1076 0.4555  4 Zn 2.97-3.03
Tb3 0.6521 0.8924 0.5445  4 Zn 2.97-3.03
Tb4 0.8924 0.3479 0.2403  4 Zn 2.97-3.03
Nd1 0.0000 0.0000 0.0000  8 Zn 3.19, 4 Tb 3.47
Zn1 0.3181 0.4218 0.7400  2 Zn 2.67, 1 Tb 2.97
Zn2 0.4218 0.6819 0.1037  2 Zn 2.67, 1 Tb 2.97
Zn3 0.5782 0.3181 0.8963  2 Zn 2.67, 1 Tb 2.97
Zn4 0.6819 0.5782 0.2600  2 Zn 2.67, 1 Tb 2.97

***

(2)
The following is a DFT calculation (PBE-GGA) of TbNd2Zn6 after structural relaxation.

**Space-group type**: P6/mmm (191)

Cell: 7.8826 7.8826 3.5849 Å, 90.00 90.00 120.00°
With the nearest neighbours (Å) after each atom.
Atoms (fractional coordinates):
Tb1 0.0000 0.0000 0.0000  12 Zn 3.16
Nd1 0.3333 0.6667 0.0000  12 Zn 3.19
Nd2 0.6667 0.3333 0.0000  12 Zn 3.19
Zn1 0.0000 0.3299 0.5000  3 Zn 2.60-2.68
Zn2 0.0000 0.6701 0.5000  3 Zn 2.60-2.68
Zn3 0.3299 0.0000 0.5000  3 Zn 2.60-2.68
Zn4 0.3299 0.3299 0.5000  3 Zn 2.60-2.68
Zn5 0.6701 0.0000 0.5000  3 Zn 2.60-2.68
Zn6 0.6701 0.6701 0.5000  3 Zn 2.60-2.68

***

(3)
The following is a DFT calculation (PBE-GGA) of Tb3Nd2Zn2 after structural relaxation.

**Space-group type**: C2/m (12)

Cell: 6.2796 6.2796 8.1752 Å, 114.91 114.91 44.49°
With the nearest neighbours (Å) after each atom.
Atoms (fractional coordinates):
Tb1 0.0000 0.0000 0.0000  4 Zn 2.91
Tb2 0.1346 0.1346 0.4653  1 Zn 2.83
Tb3 0.8654 0.8654 0.5347  1 Zn 2.83
Nd1 0.3632 0.3632 0.2063  4 Zn 3.21-3.45, 2 Tb 3.58
Nd2 0.6368 0.6368 0.7937  4 Zn 3.21-3.45, 2 Tb 3.58
Zn1 0.3571 0.3571 0.8097  3 Tb 2.83-2.91
Zn2 0.6429 0.6429 0.1903  3 Tb 2.83-2.91

***

(4)
The following is a DFT calculation (PBE-GGA) of Tb3NdZn2 after structural relaxation.

**Space-group type**: P4/mmm (123)

Cell: 3.5893 3.5893 12.3476 Å, 90.00 90.00 90.00°
With the nearest neighbours (Å) after each atom.
Atoms (fractional coordinates):
Tb1 0.0000 0.0000 0.0000  8 Zn 3.09
Tb2 0.0000 0.0000 0.2873  4 Zn 3.10
Tb3 0.0000 0.0000 0.7127  4 Zn 3.10
Nd1 0.5000 0.5000 0.5000  4 Nd 3.59, 8 Tb 3.65
Zn1 0.5000 0.5000 0.1432  8 Tb 3.09-3.10
Zn2 0.5000 0.5000 0.8568  8 Tb 3.09-3.10

***

(5)
The following is a DFT calculation (PBE-GGA) of TbNd6Zn2 after structural relaxation.

**Space-group type**: C2/m (12)

Cell: 6.6771 6.6771 12.1123 Å, 108.83 108.83 32.44°
With the nearest neighbours (Å) after each atom.
Atoms (fractional coordinates):
Tb1 0.0000 0.0000 0.0000  4 Zn 3.09
Nd1 0.0279 0.0279 0.3263  2 Zn 3.14, 1 Nd 3.44
Nd2 0.3112 0.3112 0.1243  2 Zn 3.17, 3 Nd 3.43-3.44
Nd3 0.3121 0.3121 0.4082  2 Zn 3.32, 6 Nd 3.43-3.69
Nd4 0.6879 0.6879 0.5918  2 Zn 3.32, 6 Nd 3.43-3.69
Nd5 0.6888 0.6888 0.8757  2 Zn 3.17, 3 Nd 3.43-3.44
Nd6 0.9721 0.9721 0.6737  2 Zn 3.14, 1 Nd 3.44
Zn1 0.3557 0.3557 0.8050  2 Tb 3.09, 6 Nd 3.14-3.32
Zn2 0.6443 0.6443 0.1950  2 Tb 3.09, 6 Nd 3.14-3.32

***

(6)
The following is a DFT calculation (PBE-GGA) of TbNd4Zn after structural relaxation.

**Space-group type**: C2/c (15)

Cell: 8.2490 8.2490 6.4080 Å, 100.14 100.14 113.38°
With the nearest neighbours (Å) after each atom.
Atoms (fractional coordinates):
Tb1 0.0929 0.9071 0.7500  8 Nd 3.40-3.62
Tb2 0.9071 0.0929 0.2500  8 Nd 3.40-3.62
Nd1 0.1100 0.3331 0.8753  2 Zn 3.26, 2 Tb 3.40-3.60, 3 Nd 3.42-3.64
Nd2 0.2139 0.5787 0.4495  2 Zn 3.11-3.12, 2 Nd 3.42-3.47
Nd3 0.3331 0.1100 0.3753  2 Zn 3.26, 2 Tb 3.40-3.60, 3 Nd 3.42-3.64
Nd4 0.4213 0.7861 0.0505  2 Zn 3.11-3.12, 2 Nd 3.42-3.47
Nd5 0.5787 0.2139 0.9495  2 Zn 3.11-3.12, 2 Nd 3.42-3.47
Nd6 0.6669 0.8900 0.6247  2 Zn 3.26, 2 Tb 3.40-3.60, 3 Nd 3.42-3.64
Nd7 0.7861 0.4213 0.5505  2 Zn 3.11-3.12, 2 Nd 3.42-3.47
Nd8 0.8900 0.6669 0.1247  2 Zn 3.26, 2 Tb 3.40-3.60, 3 Nd 3.42-3.64
Zn1 0.4994 0.5006 0.7500  8 Nd 3.11-3.26, 2 Zn 3.20
Zn2 0.5006 0.4994 0.2500  8 Nd 3.11-3.26, 2 Zn 3.20

***

(7)
The following is a DFT calculation (PBE-GGA) of Tb5Nd12Zn3 after structural relaxation.

**Space-group type**: Ia-3d (230)

Cell: 15.7637 15.7637 15.7637 Å, 109.47 109.47 109.47°
With the nearest neighbours (Å) after each atom.
Atoms (fractional coordinates):
Tb1 0.0000 0.0000 0.0000  6 Nd 3.16
Tb2 0.0000 0.0000 0.5000  6 Nd 3.16
Tb3 0.0000 0.5000 0.0000  6 Nd 3.16
Tb4 0.0000 0.5000 0.5000  6 Nd 3.16
Tb5 0.1250 0.7500 0.8750  4 Nd 3.19
Tb6 0.1250 0.8750 0.2500  4 Nd 3.19
Tb7 0.2500 0.1250 0.8750  4 Nd 3.19
Tb8 0.2500 0.6250 0.3750  4 Nd 3.19
Tb9 0.3750 0.2500 0.6250  4 Nd 3.19
Tb10 0.3750 0.6250 0.7500  4 Nd 3.19
Tb11 0.5000 0.0000 0.0000  6 Nd 3.16
Tb12 0.5000 0.0000 0.5000  6 Nd 3.16
Tb13 0.5000 0.5000 0.0000  6 Nd 3.16
Tb14 0.5000 0.5000 0.5000  6 Nd 3.16
Tb15 0.6250 0.3750 0.2500  4 Nd 3.19
Tb16 0.6250 0.7500 0.3750  4 Nd 3.19
Tb17 0.7500 0.3750 0.6250  4 Nd 3.19
Tb18 0.7500 0.8750 0.1250  4 Nd 3.19
Tb19 0.8750 0.1250 0.7500  4 Nd 3.19
Tb20 0.8750 0.2500 0.1250  4 Nd 3.19
Nd1 0.0664 0.6432 0.4071  2 Zn 3.05-3.39, 1 Nd 3.11, 2 Tb 3.16-3.19
Nd2 0.0664 0.9232 0.6593  2 Zn 3.05-3.39, 1 Nd 3.11, 2 Tb 3.16-3.19
Nd3 0.0768 0.2362 0.1432  2 Zn 3.05-3.39, 1 Nd 3.11, 2 Tb 3.16-3.19
Nd4 0.0768 0.3407 0.9336  2 Zn 3.05-3.39, 1 Nd 3.11, 2 Tb 3.16-3.19
Nd5 0.0929 0.7362 0.6593  2 Zn 3.05-3.39, 1 Nd 3.11, 2 Tb 3.16-3.19
Nd6 0.0929 0.8568 0.4336  2 Zn 3.05-3.39, 1 Nd 3.11, 2 Tb 3.16-3.19
Nd7 0.1432 0.0768 0.2362  2 Zn 3.05-3.39, 1 Nd 3.11, 2 Tb 3.16-3.19
Nd8 0.1432 0.5664 0.9071  2 Zn 3.05-3.39, 1 Nd 3.11, 2 Tb 3.16-3.19
Nd9 0.1593 0.2362 0.5929  2 Zn 3.05-3.39, 1 Nd 3.11, 2 Tb 3.16-3.19
Nd10 0.1593 0.4232 0.5664  2 Zn 3.05-3.39, 1 Nd 3.11, 2 Tb 3.16-3.19
Nd11 0.2362 0.1432 0.0768  2 Zn 3.05-3.39, 1 Nd 3.11, 2 Tb 3.16-3.19
Nd12 0.2362 0.5929 0.1593  2 Zn 3.05-3.39, 1 Nd 3.11, 2 Tb 3.16-3.19
Nd13 0.2638 0.3407 0.9071  2 Zn 3.05-3.39, 1 Nd 3.11, 2 Tb 3.16-3.19
Nd14 0.2638 0.4232 0.3568  2 Zn 3.05-3.39, 1 Nd 3.11, 2 Tb 3.16-3.19
Nd15 0.3407 0.9071 0.2638  2 Zn 3.05-3.39, 1 Nd 3.11, 2 Tb 3.16-3.19
Nd16 0.3407 0.9336 0.0768  2 Zn 3.05-3.39, 1 Nd 3.11, 2 Tb 3.16-3.19
Nd17 0.3568 0.2638 0.4232  2 Zn 3.05-3.39, 1 Nd 3.11, 2 Tb 3.16-3.19
Nd18 0.3568 0.5929 0.9336  2 Zn 3.05-3.39, 1 Nd 3.11, 2 Tb 3.16-3.19
Nd19 0.4071 0.0664 0.6432  2 Zn 3.05-3.39, 1 Nd 3.11, 2 Tb 3.16-3.19
Nd20 0.4071 0.8407 0.7638  2 Zn 3.05-3.39, 1 Nd 3.11, 2 Tb 3.16-3.19
Nd21 0.4232 0.3568 0.2638  2 Zn 3.05-3.39, 1 Nd 3.11, 2 Tb 3.16-3.19
Nd22 0.4232 0.5664 0.1593  2 Zn 3.05-3.39, 1 Nd 3.11, 2 Tb 3.16-3.19
Nd23 0.4336 0.0929 0.8568  2 Zn 3.05-3.39, 1 Nd 3.11, 2 Tb 3.16-3.19
Nd24 0.4336 0.8407 0.5768  2 Zn 3.05-3.39, 1 Nd 3.11, 2 Tb 3.16-3.19
Nd25 0.5664 0.1593 0.4232  2 Zn 3.05-3.39, 1 Nd 3.11, 2 Tb 3.16-3.19
Nd26 0.5664 0.9071 0.1432  2 Zn 3.05-3.39, 1 Nd 3.11, 2 Tb 3.16-3.19
Nd27 0.5768 0.4336 0.8407  2 Zn 3.05-3.39, 1 Nd 3.11, 2 Tb 3.16-3.19
Nd28 0.5768 0.6432 0.7362  2 Zn 3.05-3.39, 1 Nd 3.11, 2 Tb 3.16-3.19
Nd29 0.5929 0.1593 0.2362  2 Zn 3.05-3.39, 1 Nd 3.11, 2 Tb 3.16-3.19
Nd30 0.5929 0.9336 0.3568  2 Zn 3.05-3.39, 1 Nd 3.11, 2 Tb 3.16-3.19
Nd31 0.6432 0.4071 0.0664  2 Zn 3.05-3.39, 1 Nd 3.11, 2 Tb 3.16-3.19
Nd32 0.6432 0.7362 0.5768  2 Zn 3.05-3.39, 1 Nd 3.11, 2 Tb 3.16-3.19
Nd33 0.6593 0.0664 0.9232  2 Zn 3.05-3.39, 1 Nd 3.11, 2 Tb 3.16-3.19
Nd34 0.6593 0.0929 0.7362  2 Zn 3.05-3.39, 1 Nd 3.11, 2 Tb 3.16-3.19
Nd35 0.7362 0.5768 0.6432  2 Zn 3.05-3.39, 1 Nd 3.11, 2 Tb 3.16-3.19
Nd36 0.7362 0.6593 0.0929  2 Zn 3.05-3.39, 1 Nd 3.11, 2 Tb 3.16-3.19
Nd37 0.7638 0.4071 0.8407  2 Zn 3.05-3.39, 1 Nd 3.11, 2 Tb 3.16-3.19
Nd38 0.7638 0.8568 0.9232  2 Zn 3.05-3.39, 1 Nd 3.11, 2 Tb 3.16-3.19
Nd39 0.8407 0.5768 0.4336  2 Zn 3.05-3.39, 1 Nd 3.11, 2 Tb 3.16-3.19
Nd40 0.8407 0.7638 0.4071  2 Zn 3.05-3.39, 1 Nd 3.11, 2 Tb 3.16-3.19
Nd41 0.8568 0.4336 0.0929  2 Zn 3.05-3.39, 1 Nd 3.11, 2 Tb 3.16-3.19
Nd42 0.8568 0.9232 0.7638  2 Zn 3.05-3.39, 1 Nd 3.11, 2 Tb 3.16-3.19
Nd43 0.9071 0.1432 0.5664  2 Zn 3.05-3.39, 1 Nd 3.11, 2 Tb 3.16-3.19
Nd44 0.9071 0.2638 0.3407  2 Zn 3.05-3.39, 1 Nd 3.11, 2 Tb 3.16-3.19
Nd45 0.9232 0.6593 0.0664  2 Zn 3.05-3.39, 1 Nd 3.11, 2 Tb 3.16-3.19
Nd46 0.9232 0.7638 0.8568  2 Zn 3.05-3.39, 1 Nd 3.11, 2 Tb 3.16-3.19
Nd47 0.9336 0.0768 0.3407  2 Zn 3.05-3.39, 1 Nd 3.11, 2 Tb 3.16-3.19
Nd48 0.9336 0.3568 0.5929  2 Zn 3.05-3.39, 1 Nd 3.11, 2 Tb 3.16-3.19
Zn1 0.1250 0.2500 0.3750  8 Nd 3.05-3.39
Zn2 0.1250 0.3750 0.7500  8 Nd 3.05-3.39
Zn3 0.2500 0.3750 0.1250  8 Nd 3.05-3.39
Zn4 0.2500 0.8750 0.6250  8 Nd 3.05-3.39
Zn5 0.3750 0.1250 0.2500  8 Nd 3.05-3.39
Zn6 0.3750 0.7500 0.1250  8 Nd 3.05-3.39
Zn7 0.6250 0.2500 0.8750  8 Nd 3.05-3.39
Zn8 0.6250 0.8750 0.7500  8 Nd 3.05-3.39
Zn9 0.7500 0.1250 0.3750  8 Nd 3.05-3.39
Zn10 0.7500 0.6250 0.8750  8 Nd 3.05-3.39
Zn11 0.8750 0.6250 0.2500  8 Nd 3.05-3.39
Zn12 0.8750 0.7500 0.6250  8 Nd 3.05-3.39

***

(8)
The following is a DFT calculation (PBE-GGA) of TbNd3Zn8 after structural relaxation.

**Space-group type**: P3m1 (156)

Cell: 5.6702 5.6702 8.7212 Å, 90.00 90.00 120.00°
With the nearest neighbours (Å) after each atom.
Atoms (fractional coordinates):
Tb1 0.0000 0.0000 0.0000  12 Zn 3.10-3.31, 4 Nd 3.40-3.41
Nd1 0.0000 0.0000 0.3906  12 Zn 3.14-3.32, 3 Nd 3.40, 1 Tb 3.41
Nd2 0.6667 0.3333 0.4969  12 Zn 3.13-3.33, 4 Nd 3.40-3.45
Nd3 0.6667 0.3333 0.8930  12 Zn 3.11-3.31, 3 Tb 3.40, 1 Nd 3.45
Zn1 0.0062 0.5031 0.1936  6 Zn 2.71-2.89
Zn2 0.1670 0.3339 0.6981  6 Zn 2.69-2.84
Zn3 0.1670 0.8330 0.6981  6 Zn 2.69-2.84
Zn4 0.3333 0.6667 0.4475  6 Zn 2.73-2.74
Zn5 0.3333 0.6667 0.9435  6 Zn 2.69-2.71
Zn6 0.4969 0.5031 0.1936  6 Zn 2.71-2.89
Zn7 0.4969 0.9938 0.1936  6 Zn 2.71-2.89
Zn8 0.6661 0.8330 0.6981  6 Zn 2.69-2.84

***

(9)
The following is a DFT calculation (PBE-GGA) of TbNdZn after structural relaxation.

**Space-group type**: P3m1 (156)

Cell: 5.0247 5.0247 3.7646 Å, 90.00 90.00 120.00°
With the nearest neighbours (Å) after each atom.
Atoms (fractional coordinates):
Tb1 0.0000 0.0000 0.0000  3 Zn 3.02, 3 Nd 3.36
Nd1 0.6667 0.3333 0.5507  3 Zn 3.15, 3 Tb 3.36
Zn1 0.3333 0.6667 0.2276  3 Tb 3.02, 3 Nd 3.15

***

(10)
The following is a DFT calculation (PBE-GGA) of TbNdZr2 after structural relaxation.

**Space-group type**: R-3m (166)

Cell: 11.2203 11.2203 11.2203 Å, 17.31 17.31 17.31°
With the nearest neighbours (Å) after each atom.
Atoms (fractional coordinates):
Tb1 0.0000 0.0000 0.0000  6 Zr 3.36, 6 Tb 3.38
Nd1 0.5000 0.5000 0.5000  6 Nd 3.38, 6 Zr 3.41
Zr1 0.2509 0.2509 0.2509  3 Tb 3.36, 6 Zr 3.38, 3 Nd 3.41
Zr2 0.7491 0.7491 0.7491  3 Tb 3.36, 6 Zr 3.38, 3 Nd 3.41

***

(11)
The following is a DFT calculation (PBE-GGA) of TbNd2Zr after structural relaxation.

**Space-group type**: P4/mmm (123)

Cell: 4.9813 4.9813 4.9198 Å, 90.00 90.00 90.00°
With the nearest neighbours (Å) after each atom.
Atoms (fractional coordinates):
Tb1 0.0000 0.0000 0.0000  8 Nd 3.50, 4 Zr 3.52
Nd1 0.0000 0.5000 0.5000  4 Zr 3.50, 4 Tb 3.50, 4 Nd 3.52
Nd2 0.5000 0.0000 0.5000  4 Zr 3.50, 4 Tb 3.50, 4 Nd 3.52
Zr1 0.5000 0.5000 0.0000  8 Nd 3.50, 4 Tb 3.52

***

(12)
The following is a DFT calculation (PBE-GGA) of Tb14NdZr after structural relaxation.

**Space-group type**: P4/mmm (123)

Cell: 7.0909 7.0909 9.9875 Å, 90.00 90.00 90.00°
With the nearest neighbours (Å) after each atom.
Atoms (fractional coordinates):
Tb1 0.0000 0.0000 0.0000  12 Tb 3.53-3.55
Tb2 0.0000 0.5000 0.0000  12 Tb 3.55-3.57
Tb3 0.0000 0.5000 0.5000  8 Tb 3.51, 2 Zr 3.55, 2 Nd 3.55
Tb4 0.2443 0.2443 0.2545  10 Tb 3.46-3.63, 1 Zr 3.47, 1 Nd 3.55
Tb5 0.2443 0.2443 0.7455  10 Tb 3.46-3.63, 1 Zr 3.47, 1 Nd 3.55
Tb6 0.2443 0.7557 0.2545  10 Tb 3.46-3.63, 1 Zr 3.47, 1 Nd 3.55
Tb7 0.2443 0.7557 0.7455  10 Tb 3.46-3.63, 1 Zr 3.47, 1 Nd 3.55
Tb8 0.5000 0.0000 0.0000  12 Tb 3.55-3.57
Tb9 0.5000 0.0000 0.5000  8 Tb 3.51, 2 Zr 3.55, 2 Nd 3.55
Tb10 0.5000 0.5000 0.0000  12 Tb 3.55-3.61
Tb11 0.7557 0.2443 0.2545  10 Tb 3.46-3.63, 1 Zr 3.47, 1 Nd 3.55
Tb12 0.7557 0.2443 0.7455  10 Tb 3.46-3.63, 1 Zr 3.47, 1 Nd 3.55
Tb13 0.7557 0.7557 0.2545  10 Tb 3.46-3.63, 1 Zr 3.47, 1 Nd 3.55
Tb14 0.7557 0.7557 0.7455  10 Tb 3.46-3.63, 1 Zr 3.47, 1 Nd 3.55
Nd1 0.5000 0.5000 0.5000  12 Tb 3.55
Zr1 0.0000 0.0000 0.5000  12 Tb 3.47-3.55

***

| no. | calculated total energy (eV per atom) |
| --- | --- |
| 1 | -3.29 |
| 2 | -2.78 |
| 3 | -3.80 |
| 4 | -3.76 |
| 5 | -4.11 |
| 6 | -4.16 |
| 7 | -3.43 |
| 8 | -2.73 |
| 9 | -3.60 |
| 10 | -6.45 |
| 11 | -5.55 |
| 12 | -4.85 |